The following is a DFT calculation (PBE-GGA) of a relaxed La2Y3Tm3 crystal.

Computed properties:
Crystal system: monoclinic
Relative energy among the computed polymorphs (meV per atom): 0

Cell lengths 16.253, 5.825, 5.976 Å; angles 90.00, 111.40, 90.00 degrees
Space group C2/m (No. 12)
One atom of each set of equivalent atoms:
La 0.249 0.000 0.300 (multiplicity 4)
Y 0.000 0.500 0.500 (multiplicity 2)
Y 0.125 0.500 0.088 (multiplicity 4)
Tm 0.000 0.000 0.000 (multiplicity 2)
Tm 0.124 0.000 0.660 (multiplicity 4)

***

The following is a DFT calculation (PBE-GGA) of a relaxed La4Y2Tm5 crystal.

Computed properties:
Crystal system: monoclinic
Relative energy among the computed polymorphs (meV per atom): 56

Cell lengths 24.040, 3.471, 8.818 Å; angles 90.00, 96.96, 90.00 degrees
Space group C2/m (No. 12)
One atom of each set of equivalent atoms:
La 0.045 0.000 0.360 (multiplicity 4)
La 0.181 0.500 0.466 (multiplicity 4)
Y 0.089 0.000 0.743 (multiplicity 4)
Tm 0.000 0.500 0.000 (multiplicity 2)
Tm 0.142 0.000 0.110 (multiplicity 4)
Tm 0.232 0.000 0.831 (multiplicity 4)

***

The following is a DFT calculation (PBE-GGA) of a relaxed La9Y2Tm crystal.

Computed properties:
Crystal system: tetragonal
Calculated total energy (eV per atom): -5.139

Cell lengths 5.205, 5.205, 15.614 Å; angles 90.00, 90.00, 90.00 degrees
Space group P4/mmm (No. 123)
One atom of each set of equivalent atoms:
La 0.000 0.000 0.000 (multiplicity 1)
La 0.000 0.000 0.333 (multiplicity 2)
La 0.000 0.500 0.165 (multiplicity 4)
La 0.000 0.500 0.500 (multiplicity 2)
Y 0.500 0.500 0.333 (multiplicity 2)
Tm 0.500 0.500 0.000 (multiplicity 1)

***

The following is a DFT calculation (PBE-GGA) of a relaxed La2YTm3 crystal.

Computed properties:
Crystal system: monoclinic
Relative energy among the computed polymorphs (meV per atom): 48

Cell lengths 17.805, 3.484, 14.307 Å; angles 90.00, 116.77, 90.00 degrees
Space group C2/m (No. 12)
One atom of each set of equivalent atoms:
La 0.154 0.000 0.469 (multiplicity 4)
La 0.186 0.500 0.879 (multiplicity 4)
Y 0.062 0.000 0.643 (multiplicity 4)
Tm 0.039 0.500 0.204 (multiplicity 4)
Tm 0.098 0.000 0.027 (multiplicity 4)
Tm 0.236 0.000 0.293 (multiplicity 4)

***

The following is a DFT calculation (PBE-GGA) of a relaxed La5Y3Tm2 crystal.

Computed properties:
Crystal system: monoclinic
Calculated total energy (eV per atom): -5.137

Cell lengths 10.918, 14.809, 10.215 Å; angles 90.00, 122.17, 90.00 degrees
Space group C2/c (No. 15)
One atom of each set of equivalent atoms:
La 0.000 0.015 0.250 (multiplicity 4)
La 0.000 0.225 0.250 (multiplicity 4)
La 0.000 0.475 0.750 (multiplicity 4)
La 0.245 0.370 0.239 (multiplicity 8)
Y 0.000 0.268 0.750 (multiplicity 4)
Y 0.156 0.375 0.558 (multiplicity 8)
Tm 0.155 0.128 0.063 (multiplicity 8)

***

The following is a DFT calculation (PBE-GGA) of a relaxed La4Y15Tm crystal.

Computed properties:
Crystal system: tetragonal
Calculated total energy (eV per atom): -6.026

Cell lengths 5.110, 5.110, 25.405 Å; angles 90.00, 90.00, 90.00 degrees
Space group P4/mmm (No. 123)
One atom of each set of equivalent atoms:
La 0.000 0.000 0.101 (multiplicity 2)
La 0.000 0.000 0.301 (multiplicity 2)
Y 0.000 0.500 0.000 (multiplicity 2)
Y 0.000 0.500 0.201 (multiplicity 4)
Y 0.000 0.500 0.403 (multiplicity 4)
Y 0.500 0.500 0.101 (multiplicity 2)
Y 0.500 0.500 0.302 (multiplicity 2)
Y 0.500 0.500 0.500 (multiplicity 1)
Tm 0.000 0.000 0.500 (multiplicity 1)

***

The following is a DFT calculation (PBE-GGA) of a relaxed La6Y5Tm2 crystal.

Computed properties:
Crystal system: orthorhombic
Calculated total energy (eV per atom): -5.337

Cell lengths 11.742, 21.022, 3.653 Å; angles 90.00, 90.00, 90.00 degrees
Space group Pbam (No. 55)
One atom of each set of equivalent atoms:
La 0.064 0.080 0.000 (multiplicity 4)
La 0.082 0.366 0.000 (multiplicity 4)
La 0.170 0.637 0.500 (multiplicity 4)
Y 0.000 0.500 0.500 (multiplicity 2)
Y 0.095 0.227 0.500 (multiplicity 4)
Y 0.198 0.941 0.500 (multiplicity 4)
Tm 0.163 0.791 0.000 (multiplicity 4)

***

The following is a DFT calculation (PBE-GGA) of a relaxed LaYTm6 crystal.

Computed properties:
Crystal system: trigonal
Relative energy among the computed polymorphs (meV per atom): 553

Cell lengths 8.6364, 8.6364, 12.9457 Å; angles 90.00, 90.00, 120.00 degrees
Space group R-3m (No. 166, hexagonal axes)
One atom of each set of equivalent atoms:
La 0.0000 0.0000 0.0000 (multiplicity 3)
Y 0.0000 0.0000 0.5000 (multiplicity 3)
Tm 0.0910 0.5455 0.3901 (multiplicity 18)

***

The following is a DFT calculation (PBE-GGA) of a relaxed La4YTm3 crystal.

Computed properties:
Crystal system: monoclinic
Relative energy among the computed polymorphs (meV per atom): 0

Cell lengths 24.231, 3.659, 6.266 Å; angles 90.00, 104.75, 90.00 degrees
Space group C2/m (No. 12)
One atom of each set of equivalent atoms:
La 0.123 0.000 0.457 (multiplicity 4)
La 0.248 0.000 0.242 (multiplicity 4)
Y 0.000 0.000 0.000 (multiplicity 2)
Tm 0.000 0.500 0.500 (multiplicity 2)
Tm 0.122 0.500 0.954 (multiplicity 4)

***

The following is a DFT calculation (PBE-GGA) of a relaxed La6YTm3 crystal.

Computed properties:
Crystal system: monoclinic
Calculated total energy (eV per atom): -4.811

Cell lengths 7.771, 9.430, 12.223 Å; angles 90.00, 129.43, 90.00 degrees
Space group P2_1/c (No. 14)
One atom of each set of equivalent atoms:
La 0.080 0.169 0.331 (multiplicity 4)
La 0.133 0.137 0.632 (multiplicity 4)
La 0.361 0.630 0.863 (multiplicity 4)
Y 0.500 0.000 0.000 (multiplicity 2)
Tm 0.000 0.000 0.000 (multiplicity 2)
Tm 0.415 0.668 0.167 (multiplicity 4)

***

The following is a DFT calculation (PBE-GGA) of a relaxed LaY5Tm6 crystal.

Computed properties:
Crystal system: monoclinic
Calculated total energy (eV per atom): -5.309

Cell lengths 6.142, 10.631, 11.747 Å; angles 90.00, 100.02, 90.00 degrees
Space group C2/m (No. 12)
One atom of each set of equivalent atoms:
La 0.000 0.000 0.000 (multiplicity 2)
Y 0.000 0.167 0.500 (multiplicity 4)
Y 0.000 0.333 0.000 (multiplicity 4)
Y 0.000 0.500 0.500 (multiplicity 2)
Tm 0.249 0.333 0.748 (multiplicity 8)
Tm 0.250 0.000 0.748 (multiplicity 4)

***

The following is a DFT calculation (PBE-GGA) of a relaxed LaY7Tm2 crystal.

Computed properties:
Crystal system: triclinic
Relative energy among the computed polymorphs (meV per atom): 0

Cell lengths 6.592, 6.709, 8.111 Å; angles 74.25, 71.81, 84.60 degrees
Space group P-1 (No. 2)
One atom of each set of equivalent atoms:
La 0.000 0.000 0.000 (multiplicity 1)
Y 0.000 0.000 0.500 (multiplicity 1)
Y 0.197 0.577 0.781 (multiplicity 2)
Y 0.434 0.234 0.063 (multiplicity 2)
Y 0.448 0.163 0.624 (multiplicity 2)
Tm 0.219 0.532 0.341 (multiplicity 2)